Record 1
Material: K2TlCuCl5
Method: DFT, PBE
State: optimized geometry

electronic total energy: -29.2 eV per formula unit
M_tot: 0.00 μB per atom
formation energy without anion corrections: -1.26 eV/atom
DOS(E_F): 2.7 states/eV/cell

Geometry as CIF:
```
data_K2TlCuCl5
_chemical_formula_sum 'K2 Tl1 Cu1 Cl5'
_cell_length_a 4.734
_cell_length_b 4.734
_cell_length_c 11.218
_cell_angle_alpha 90.00
_cell_angle_beta 90.00
_cell_angle_gamma 90.00
_space_group_name_H-M_alt 'P 4/m m m'
_space_group_IT_number 123
_space_group_name_Hall '-P 4 2'
loop_
_atom_site_label
_atom_site_fract_x
_atom_site_fract_y
_atom_site_fract_z
_atom_site_occupancy
K1 0.000 0.000 0.210 1
Tl1 0.500 0.500 0.500 1
Cu1 0.500 0.500 0.000 1
Cl1 0.000 0.000 0.500 1
Cl2 0.000 0.500 0.000 1
Cl3 0.500 0.500 0.231 1
```

Record 2
Material: KTlCuCl4
Method: DFT, PBE
State: optimized geometry

electronic total energy: -22.3 eV per formula unit
M_tot: 0.15 μB per atom
formation energy without anion corrections: -1.05 eV/atom
DOS(E_F): 14.2 states/eV/cell

Geometry as CIF:
```
data_KTlCuCl4
_chemical_formula_sum 'K2 Tl2 Cu2 Cl8'
_cell_length_a 7.212
_cell_length_b 6.851
_cell_length_c 8.821
_cell_angle_alpha 90.00
_cell_angle_beta 108.16
_cell_angle_gamma 90.00
_space_group_name_H-M_alt 'P 1 21/m 1'
_space_group_IT_number 11
_space_group_name_Hall '-P 2yb'
loop_
_atom_site_label
_atom_site_fract_x
_atom_site_fract_y
_atom_site_fract_z
_atom_site_occupancy
K1 0.227 0.250 0.053 1
Tl1 0.292 0.250 0.575 1
Cu1 0.218 0.750 0.797 1
Cl1 0.004 0.501 0.738 1
Cl2 0.394 0.750 0.061 1
Cl3 0.416 0.750 0.639 1
```

Record 3
Material: K3TlCu2Cl9
Method: DFT, PBE
State: optimized geometry

electronic total energy: -47.4 eV per formula unit
M_tot: 0.01 μB per atom
formation energy without anion corrections: -1.13 eV/atom
DOS(E_F): 5.1 states/eV/cell

Geometry as CIF:
```
data_K3TlCu2Cl9
_chemical_formula_sum 'K3 Tl1 Cu2 Cl9'
_cell_length_a 7.1088
_cell_length_b 7.1088
_cell_length_c 8.8511
_cell_angle_alpha 90.00
_cell_angle_beta 90.00
_cell_angle_gamma 120.00
_space_group_name_H-M_alt 'P -3 m 1'
_space_group_IT_number 164
_space_group_name_Hall '-P 3 2"'
loop_
_atom_site_label
_atom_site_fract_x
_atom_site_fract_y
_atom_site_fract_z
_atom_site_occupancy
K1 0.0000 0.0000 0.0000 1
K2 0.3333 0.6667 0.6943 1
Tl1 0.0000 0.0000 0.5000 1
Cu1 0.3333 0.6667 0.1512 1
Cl1 0.0000 0.5000 0.0000 1
Cl2 0.1742 0.3484 0.3179 1
```

Record 4
Material: KTl2Cu2Cl6
Method: DFT, PBE
State: optimized geometry

electronic total energy: -35.2 eV per formula unit
M_tot: 0.10 μB per atom
formation energy without anion corrections: -0.92 eV/atom
DOS(E_F): 11.1 states/eV/cell

Geometry as CIF:
```
data_KTl2Cu2Cl6
_chemical_formula_sum 'K1 Tl2 Cu2 Cl6'
_cell_length_a 7.9739
_cell_length_b 7.9739
_cell_length_c 6.4079
_cell_angle_alpha 90.00
_cell_angle_beta 90.00
_cell_angle_gamma 120.00
_space_group_name_H-M_alt 'P -3'
_space_group_IT_number 147
_space_group_name_Hall '-P 3'
loop_
_atom_site_label
_atom_site_fract_x
_atom_site_fract_y
_atom_site_fract_z
_atom_site_occupancy
K1 0.0000 0.0000 0.0000 1
Tl1 0.3333 0.6667 0.2713 1
Cu1 0.3333 0.6667 0.7624 1
Cl1 0.0746 0.3764 0.7524 1
```

Question: Among the records above, which one has the highest formation energy without anion corrections?
Answer: KTl2Cu2Cl6